Version one
A relaxed structure of AcMgPd4, computed with PBE.

Cell: 5.510 5.510 5.510 Å, 60.00 60.00 60.00°
Fractional coordinates of all 6 atoms:
1 Pd 0.626 0.626 0.626
2 Pd 0.626 0.626 0.122
3 Pd 0.122 0.626 0.626
4 Pd 0.626 0.122 0.626
5 Ac 0.250 0.250 0.250
6 Mg 0.000 0.000 0.000

Computed properties:
For the size of the total moment, the calculation gives 0.000 μB/atom. For the volume, the calculation gives 19.71 Å³/atom. As for the symmetry: F-43m, No. 216.

Version two
A relaxed structure of AcMgPd4, computed with PBE.

Cell: 4.284 6.219 9.126 Å, 90.00 103.57 90.00°
Fractional coordinates of all 12 atoms:
1 Pd 0.078 0.750 0.157
2 Pd 0.500 0.500 0.000
3 Pd 0.500 0.000 0.000
4 Pd 0.335 0.033 0.671
5 Pd 0.665 0.967 0.329
6 Pd 0.335 0.467 0.671
7 Pd 0.922 0.250 0.843
8 Pd 0.665 0.533 0.329
9 Ac 0.907 0.750 0.814
10 Ac 0.093 0.250 0.186
11 Mg 0.774 0.250 0.548
12 Mg 0.226 0.750 0.452

Computed properties:
For the size of the total moment, the calculation gives 0.000 μB/atom. For the volume, the calculation gives 19.69 Å³/atom. As for the symmetry: Cmcm, No. 63.

Quick one: most stable of them? version two

Version one
A relaxed structure of Ac4MgPd, computed with PBE.

Cell: 10.719 10.719 10.719 Å, 60.00 60.00 60.00°
Fractional coordinates of all 24 atoms:
1 Pd 0.607 0.607 0.607
2 Pd 0.607 0.607 0.180
3 Pd 0.607 0.180 0.607
4 Pd 0.180 0.607 0.607
5 Ac 0.815 0.185 0.185
6 Ac 0.942 0.942 0.558
7 Ac 0.185 0.815 0.185
8 Ac 0.815 0.815 0.185
9 Ac 0.185 0.185 0.815
10 Ac 0.815 0.185 0.815
11 Ac 0.402 0.402 0.794
12 Ac 0.942 0.558 0.942
13 Ac 0.185 0.815 0.815
14 Ac 0.558 0.558 0.942
15 Ac 0.402 0.794 0.402
16 Ac 0.942 0.558 0.558
17 Ac 0.558 0.942 0.942
18 Ac 0.558 0.942 0.558
19 Ac 0.402 0.402 0.402
20 Ac 0.794 0.402 0.402
21 Mg 0.482 0.173 0.173
22 Mg 0.173 0.173 0.482
23 Mg 0.173 0.173 0.173
24 Mg 0.173 0.482 0.173

Computed properties:
For the size of the total moment, the calculation gives 0.000 μB/atom. For the volume, the calculation gives 36.29 Å³/atom. As for the symmetry: F-43m, No. 216.

Version two
A relaxed structure of Ac4MgPd, computed with PBE.

Cell: 4.048 7.265 9.692 Å, 60.87 100.98 73.68°
Fractional coordinates of all 6 atoms:
1 Ac 0.664 0.996 0.818
2 Ac 0.787 0.591 0.642
3 Ac 0.307 0.011 0.159
4 Ac 0.212 0.402 0.326
5 Mg 0.480 0.510 0.973
6 Pd 0.058 0.974 0.571

Computed properties:
For the size of the total moment, the calculation gives 0.000 μB/atom. For the volume, the calculation gives 36.66 Å³/atom. As for the symmetry: P1, No. 1.

Quick one: most stable of them? version one